No. 1
## CaNbCu (PBE)

Data for a geometry-optimized CaNbCu structure.

Computed properties:
DOS at the Fermi energy = 7.69 states/eV/cell
Space group = P4/nmm (129)
Energy of formation from the pure elements = 0.682 eV/atom
Energy above the most stable polymorph in this dataset = 51.0 kJ/mol of atoms

abc: 4.014 4.014 7.423
angles: 90.00 90.00 90.00
Element x y z (fractional)
Ca: 0.250 0.750 0.000
Ca: 0.750 0.250 0.000
Nb: 0.250 0.250 0.392
Nb: 0.750 0.750 0.608
Cu: 0.250 0.250 0.714
Cu: 0.750 0.750 0.286



No. 2
## PmNdGa2Ir2 (PBE)

Data for a geometry-optimized PmNdGa2Ir2 structure.

Computed properties:
DOS at the Fermi energy = 3.70 states/eV/cell
Space group = P-3m1 (164)
Energy of formation from the pure elements = -0.738 eV/atom

abc: 4.388 4.388 7.661
angles: 90.00 90.00 120.00
Element x y z (fractional)
Pm: 0.000 0.000 0.000
Nd: 0.000 0.000 0.500
Ga: 0.333 0.667 0.753
Ga: 0.667 0.333 0.247
Ir: 0.333 0.667 0.247
Ir: 0.667 0.333 0.753



No. 3
## RbB2Te (PBE)

Data for a geometry-optimized RbB2Te structure.

Computed properties:
DOS at the Fermi energy = 1.49 states/eV/cell
Formation energy without anion corrections = 1.38 eV/atom
Space group = I-42d (122)

abc: 6.399 6.399 6.399
angles: 109.68 109.68 109.06
Element x y z (fractional)
Rb: 0.000 0.000 0.000
Rb: 0.750 0.250 0.500
B: 0.209 0.125 0.584
B: 0.375 0.791 0.916
B: 0.541 0.625 0.416
B: 0.875 0.459 0.084
Te: 0.250 0.750 0.500
Te: 0.500 0.500 0.000



No. 4
## AcTmC (PBE)

Data for a geometry-optimized AcTmC structure.

Computed properties:
DOS at the Fermi energy = 1.78 states/eV/cell
Space group = I4mm (107)
Energy of formation from the pure elements = 0.439 eV/atom
Energy above the most stable polymorph in this dataset = 47.2 kJ/mol of atoms

abc: 6.776 6.776 6.776
angles: 151.68 151.68 40.48
Element x y z (fractional)
Ac: 0.000 0.000 0.000
Tm: 0.774 0.774 0.000
C: 0.371 0.371 0.000